Density functional theory data (PBE) for crystalline DyY2Sc3Sb2Os at its relaxed geometry.

It has space group Amm2 (No. 38), with a = 4.185 Å, b = 13.561 Å, c = 7.820 Å, α = 90.00°, β = 90.00° and γ = 90.00°. The inequivalent atoms are Dy at (0.000, 0.000, 0.000), Y at (0.000, 0.198, 0.408), Sc at (0.500, 0.000, 0.378), Sc at (0.500, 0.113, 0.719), Sb at (0.500, 0.167, 0.105) and Os at (0.000, 0.000, 0.606).

As for the total DFT energy (no corrections): -6.98 eV per atom.

Density functional theory data (PBE) for crystalline DyY3Sc2Sb2Os at its relaxed geometry.

It has space group Amm2 (No. 38), with a = 4.187 Å, b = 13.751 Å, c = 7.975 Å, α = 90.00°, β = 90.00° and γ = 90.00°. The inequivalent atoms are Dy at (0.000, 0.000, 0.000), Y at (0.500, 0.000, 0.619), Y at (0.500, 0.200, 0.027), Sc at (0.000, 0.116, 0.343), Sb at (0.000, 0.169, 0.723) and Os at (0.500, 0.000, 0.246).

As for the total DFT energy (no corrections): -6.97 eV per atom.